NaTm2AgSe4 (PBE, relaxed); E_tot = -4.805 eV/atom; mass density = 6612 kg/m³; space-group type = No. 10; V = 24.63 Å³ per atom; magnetization = 0.0 μB/cell; formation energy without anion corrections = -1424 meV per atom
1.0
7.078 0.000 0.000
0.000 4.095 0.000
-2.404 0.000 6.798
Na Tm Ag Se
1 2 1 4
Cartesian
0.000 0.000 0.000 Na
-1.202 2.047 3.399 Tm
2.337 0.000 3.399 Tm
3.539 2.047 0.000 Ag
-0.012 0.000 5.000 Se
1.168 2.047 1.823 Se
3.506 2.047 4.975 Se
4.687 0.000 1.798 Se